Computed, not measured: a geometry-optimized CaCdSe2 structure at the PBEsol level of DFT.

Summary:
- raw total energy (eV per atom) = -3.99

CIF file:
```
data_CaCdSe2
_symmetry_space_group_name_H-M 'P m m 2'
_symmetry_Int_Tables_number 25
_cell_length_a 4.071
_cell_length_b 5.772
_cell_length_c 4.070
_cell_angle_alpha 90.00
_cell_angle_beta 90.00
_cell_angle_gamma 90.00
loop_
_symmetry_equiv_pos_as_xyz
'x,y,z'
'-x,-y,z'
'-x,y,z'
'x,-y,z'
loop_
_atom_site_label
_atom_site_type_symbol
_atom_site_fract_x
_atom_site_fract_y
_atom_site_fract_z
Ca1 Ca 0.000 0.000 0.000
Cd1 Cd 0.500 0.500 0.498
Se1 Se 0.000 0.500 0.000
Se2 Se 0.500 0.000 0.500
```


Computed, not measured: a geometry-optimized AsPb2 structure at the PBEsol level of DFT.

Summary:
- ΔE_f (eV per atom) = 0.041
- energy above the lowest structure with this stoichiometry (meV per atom) = 16

CIF file:
```
data_AsPb2
_symmetry_space_group_name_H-M 'P -3 m 1'
_symmetry_Int_Tables_number 164
_symmetry_space_group_name_Hall '-P 3 2"'
_cell_length_a 4.0705
_cell_length_b 4.0705
_cell_length_c 5.9006
_cell_angle_alpha 90.00
_cell_angle_beta 90.00
_cell_angle_gamma 120.00
loop_
_atom_site_label
_atom_site_type_symbol
_atom_site_fract_x
_atom_site_fract_y
_atom_site_fract_z
As1 As 0.0000 0.0000 0.0000
Pb1 Pb 0.3333 0.6667 0.2911
```


Computed, not measured: a geometry-optimized Re2NiPt structure at the PBEsol level of DFT.

Summary:
- ΔE_f (eV per atom) = 0.011
- energy above the lowest structure with this stoichiometry (meV per atom) = 48

CIF file:
```
data_Re2NiPt
_symmetry_space_group_name_H-M 'P m m m'
_symmetry_Int_Tables_number 47
_cell_length_a 2.659
_cell_length_b 3.859
_cell_length_c 5.345
_cell_angle_alpha 90.00
_cell_angle_beta 90.00
_cell_angle_gamma 90.00
loop_
_symmetry_equiv_pos_as_xyz
'x,y,z'
'-x,-y,-z'
'-x,-y,z'
'x,y,-z'
'x,-y,-z'
'-x,y,z'
'-x,y,-z'
'x,-y,z'
loop_
_atom_site_label
_atom_site_type_symbol
_atom_site_fract_x
_atom_site_fract_y
_atom_site_fract_z
Re1 Re 0.000 0.000 0.225
Ni1 Ni 0.500 0.500 0.000
Pt1 Pt 0.500 0.500 0.500
```


Computed, not measured: a geometry-optimized Co2AsO5 structure at the PBEsol level of DFT.

Summary:
- raw total energy (eV per atom) = -6.82

CIF file:
```
data_Co2AsO5
_symmetry_space_group_name_H-M 'P n n m'
_symmetry_Int_Tables_number 58
_cell_length_a 8.142
_cell_length_b 8.356
_cell_length_c 5.761
_cell_angle_alpha 90.00
_cell_angle_beta 90.00
_cell_angle_gamma 90.00
loop_
_symmetry_equiv_pos_as_xyz
'x,y,z'
'-x,-y,-z'
'-x,-y,z'
'x,y,-z'
'x+1/2,-y+1/2,-z+1/2'
'-x+1/2,y+1/2,z+1/2'
'-x+1/2,y+1/2,-z+1/2'
'x+1/2,-y+1/2,z+1/2'
loop_
_atom_site_label
_atom_site_type_symbol
_atom_site_fract_x
_atom_site_fract_y
_atom_site_fract_z
Co1 Co 0.000 0.000 0.241
Co2 Co 0.152 0.381 0.500
As1 As 0.244 0.750 0.500
O1 O 0.094 0.603 0.500
O2 O 0.129 0.932 0.000
O3 O 0.136 0.232 0.243
O4 O 0.140 0.932 0.500
```


Computed, not measured: a geometry-optimized SrTl2W structure at the PBEsol level of DFT.

Summary:
- ΔE_f (eV per atom) = 0.752
- energy above the lowest structure with this stoichiometry (meV per atom) = 190

CIF file:
```
data_SrTl2W
_symmetry_space_group_name_H-M 'C m m 2'
_symmetry_Int_Tables_number 35
_cell_length_a 3.950
_cell_length_b 4.852
_cell_length_c 9.974
_cell_angle_alpha 90.00
_cell_angle_beta 90.00
_cell_angle_gamma 90.00
loop_
_symmetry_equiv_pos_as_xyz
'x,y,z'
'-x,-y,z'
'-x,y,z'
'x,-y,z'
'x+1/2,y+1/2,z'
'-x+1/2,-y+1/2,z'
'-x+1/2,y+1/2,z'
'x+1/2,-y+1/2,z'
loop_
_atom_site_label
_atom_site_type_symbol
_atom_site_fract_x
_atom_site_fract_y
_atom_site_fract_z
Sr1 Sr 0.000 0.000 0.000
Tl1 Tl 0.000 0.000 0.459
Tl2 Tl 0.000 0.500 0.713
W1 W 0.000 0.500 0.245
```


Computed, not measured: a geometry-optimized Zn2InGa2 structure at the PBEsol level of DFT.

Summary:
- ΔE_f (eV per atom) = 0.076
- energy above the lowest structure with this stoichiometry (meV per atom) = 38

CIF file:
```
data_Zn2InGa2
_symmetry_space_group_name_H-M 'P 4/m b m'
_symmetry_Int_Tables_number 127
_symmetry_space_group_name_Hall '-P 4 2ab'
_cell_length_a 8.027
_cell_length_b 8.027
_cell_length_c 2.828
_cell_angle_alpha 90.00
_cell_angle_beta 90.00
_cell_angle_gamma 90.00
loop_
_atom_site_label
_atom_site_type_symbol
_atom_site_fract_x
_atom_site_fract_y
_atom_site_fract_z
Zn1 Zn 0.156 0.344 0.000
In1 In 0.000 0.000 0.500
Ga1 Ga 0.139 0.639 0.500
```


Computed, not measured: a geometry-optimized CsYTa2Cd structure at the PBEsol level of DFT.

Summary:
- ΔE_f (eV per atom) = 1.841

CIF file:
```
data_CsYTa2Cd
_symmetry_space_group_name_H-M 'P 4/m m m'
_symmetry_Int_Tables_number 123
_symmetry_space_group_name_Hall '-P 4 2'
_cell_length_a 5.175
_cell_length_b 5.175
_cell_length_c 5.606
_cell_angle_alpha 90.00
_cell_angle_beta 90.00
_cell_angle_gamma 90.00
loop_
_atom_site_label
_atom_site_type_symbol
_atom_site_fract_x
_atom_site_fract_y
_atom_site_fract_z
Cs1 Cs 0.000 0.000 0.000
Y1 Y 0.500 0.500 0.000
Ta1 Ta 0.000 0.500 0.500
Cd1 Cd 0.500 0.500 0.500
```


Computed, not measured: a geometry-optimized Re3Te5 structure at the PBEsol level of DFT.

Summary:
- raw total energy (eV per atom) = -6.44

CIF file:
```
data_Re3Te5
_symmetry_space_group_name_H-M 'C m m m'
_symmetry_Int_Tables_number 65
_symmetry_space_group_name_Hall '-C 2 2'
_cell_length_a 8.635
_cell_length_b 12.377
_cell_length_c 3.583
_cell_angle_alpha 90.00
_cell_angle_beta 90.00
_cell_angle_gamma 90.00
loop_
_atom_site_label
_atom_site_type_symbol
_atom_site_fract_x
_atom_site_fract_y
_atom_site_fract_z
Re1 Re 0.000 0.000 0.000
Re2 Re 0.000 0.154 0.500
Te1 Te 0.000 0.500 0.000
Te2 Te 0.226 0.000 0.500
Te3 Te 0.250 0.250 0.000
```


Computed, not measured: a geometry-optimized CoOs2Ru structure at the PBEsol level of DFT.

Summary:
- ΔE_f (eV per atom) = 0.181
- energy above the lowest structure with this stoichiometry (meV per atom) = 17

CIF file:
```
data_CoOs2Ru
_symmetry_space_group_name_H-M 'C m m m'
_symmetry_Int_Tables_number 65
_symmetry_space_group_name_Hall '-C 2 2'
_cell_length_a 5.250
_cell_length_b 7.464
_cell_length_c 2.638
_cell_angle_alpha 90.00
_cell_angle_beta 90.00
_cell_angle_gamma 90.00
loop_
_atom_site_label
_atom_site_type_symbol
_atom_site_fract_x
_atom_site_fract_y
_atom_site_fract_z
Co1 Co 0.000 0.000 0.000
Os1 Os 0.250 0.250 0.500
Ru1 Ru 0.000 0.500 0.000
```


Computed, not measured: a geometry-optimized SiMo2Cl structure at the PBEsol level of DFT.

Summary:
- energy above the lowest structure with this stoichiometry (meV per atom) = 0

CIF file:
```
data_SiMo2Cl
_symmetry_space_group_name_H-M 'C m m 2'
_symmetry_Int_Tables_number 35
_cell_length_a 3.319
_cell_length_b 4.473
_cell_length_c 8.844
_cell_angle_alpha 90.00
_cell_angle_beta 90.00
_cell_angle_gamma 90.00
loop_
_symmetry_equiv_pos_as_xyz
'x,y,z'
'-x,-y,z'
'-x,y,z'
'x,-y,z'
'x+1/2,y+1/2,z'
'-x+1/2,-y+1/2,z'
'-x+1/2,y+1/2,z'
'x+1/2,-y+1/2,z'
loop_
_atom_site_label
_atom_site_type_symbol
_atom_site_fract_x
_atom_site_fract_y
_atom_site_fract_z
Si1 Si 0.000 0.000 0.000
Mo1 Mo 0.000 0.000 0.458
Mo2 Mo 0.000 0.500 0.220
Cl1 Cl 0.000 0.500 0.671
```